(1)
# MgBeBr2 (PBEsol, optimized geometry)
# calculated total energy	-2.28	eV per atom
# distance to the lowest polymorph of the same formula	643	meV/atom
# spin magnetization	0.000	μB/atom
# N(E_F)	1.4	states/eV/cell
data_MgBeBr2
_chemical_formula_sum 'Mg1 Be1 Br2'
_cell_length_a 4.818
_cell_length_b 4.818
_cell_length_c 3.447
_cell_angle_alpha 90.00
_cell_angle_beta 90.00
_cell_angle_gamma 90.00
_symmetry_space_group_name_H-M 'P 4/m m m'
_symmetry_Int_Tables_number 123
_symmetry_space_group_name_Hall '-P 4 2'
loop_
_atom_site_label
_atom_site_type_symbol
_atom_site_fract_x
_atom_site_fract_y
_atom_site_fract_z
_atom_site_occupancy
Mg1 Mg 0.000 0.000 0.000 1
Be1 Be 0.500 0.500 0.000 1
Br1 Br 0.000 0.500 0.500 1



(2)
# MgBe2Br (PBEsol, optimized geometry)
# calculated total energy	-2.36	eV per atom
# distance to the lowest polymorph of the same formula	304	meV/atom
# spin magnetization	0.000	μB/atom
# N(E_F)	4.7	states/eV/cell
data_MgBe2Br
_chemical_formula_sum 'Mg4 Be8 Br4'
_cell_length_a 7.148
_cell_length_b 7.148
_cell_length_c 5.253
_cell_angle_alpha 90.00
_cell_angle_beta 90.00
_cell_angle_gamma 90.00
_symmetry_space_group_name_H-M 'I -4 2 d'
_symmetry_Int_Tables_number 122
_symmetry_space_group_name_Hall 'I -4 2bw'
loop_
_atom_site_label
_atom_site_type_symbol
_atom_site_fract_x
_atom_site_fract_y
_atom_site_fract_z
_atom_site_occupancy
Mg1 Mg 0.000 0.000 0.000 1
Be1 Be 0.224 0.750 0.625 1
Br1 Br 0.000 0.000 0.500 1



(3)
# MgBe2Br (PBEsol, optimized geometry)
# calculated total energy	-2.66	eV per atom
# distance to the lowest polymorph of the same formula	0	meV/atom
# spin magnetization	0.000	μB/atom
# N(E_F)	1.2	states/eV/cell
data_MgBe2Br
_chemical_formula_sum 'Mg1 Be2 Br1'
_cell_length_a 3.079
_cell_length_b 3.163
_cell_length_c 7.683
_cell_angle_alpha 90.00
_cell_angle_beta 90.00
_cell_angle_gamma 90.00
_symmetry_space_group_name_H-M 'P m m 2'
_symmetry_Int_Tables_number 25
_symmetry_space_group_name_Hall 'P 2 -2'
loop_
_atom_site_label
_atom_site_type_symbol
_atom_site_fract_x
_atom_site_fract_y
_atom_site_fract_z
_atom_site_occupancy
Mg1 Mg 0.000 0.000 0.000 1
Be1 Be 0.000 0.000 0.335 1
Be2 Be 0.500 0.500 0.271 1
Br1 Br 0.500 0.500 0.797 1



(4)
# MnBeBr2 (PBEsol, optimized geometry)
# calculated total energy	-4.07	eV per atom
# distance to the lowest polymorph of the same formula	307	meV/atom
# spin magnetization	1.168	μB/atom
# N(E_F)	1.9	states/eV/cell
data_MnBeBr2
_chemical_formula_sum 'Mn2 Be2 Br4'
_cell_length_a 3.206
_cell_length_b 6.112
_cell_length_c 9.156
_cell_angle_alpha 90.00
_cell_angle_beta 90.00
_cell_angle_gamma 90.00
_symmetry_space_group_name_H-M 'C m m m'
_symmetry_Int_Tables_number 65
_symmetry_space_group_name_Hall '-C 2 2'
loop_
_atom_site_label
_atom_site_type_symbol
_atom_site_fract_x
_atom_site_fract_y
_atom_site_fract_z
_atom_site_occupancy
Mn1 Mn 0.000 0.000 0.000 1
Be1 Be 0.000 0.000 0.500 1
Br1 Br 0.000 0.500 0.327 1



(5)
# MnBeBr2 (PBEsol, optimized geometry)
# calculated total energy	-4.37	eV per atom
# distance to the lowest polymorph of the same formula	0	meV/atom
# spin magnetization	0.900	μB/atom
# N(E_F)	2.4	states/eV/cell
data_MnBeBr2
_chemical_formula_sum 'Mn1 Be1 Br2'
_cell_length_a 3.217
_cell_length_b 3.347
_cell_length_c 7.575
_cell_angle_alpha 90.00
_cell_angle_beta 90.00
_cell_angle_gamma 90.00
_symmetry_space_group_name_H-M 'P m m 2'
_symmetry_Int_Tables_number 25
_symmetry_space_group_name_Hall 'P 2 -2'
loop_
_atom_site_label
_atom_site_type_symbol
_atom_site_fract_x
_atom_site_fract_y
_atom_site_fract_z
_atom_site_occupancy
Mn1 Mn 0.000 0.000 0.000 1
Be1 Be 0.500 0.500 0.163 1
Br1 Br 0.000 0.500 0.355 1
Br2 Br 0.500 0.000 0.757 1



(6)
# Be2MoBr (PBEsol, optimized geometry)
# calculated total energy	-4.18	eV per atom
# distance to the lowest polymorph of the same formula	683	meV/atom
# spin magnetization	0.135	μB/atom
# N(E_F)	16.8	states/eV/cell
data_Be2MoBr
_chemical_formula_sum 'Be8 Mo4 Br4'
_cell_length_a 5.991
_cell_length_b 5.991
_cell_length_c 5.991
_cell_angle_alpha 90.00
_cell_angle_beta 90.00
_cell_angle_gamma 90.00
_symmetry_space_group_name_H-M 'F m -3 m'
_symmetry_Int_Tables_number 225
_symmetry_space_group_name_Hall '-F 4 2 3'
loop_
_atom_site_label
_atom_site_type_symbol
_atom_site_fract_x
_atom_site_fract_y
_atom_site_fract_z
_atom_site_occupancy
Be1 Be 0.250 0.250 0.250 1
Mo1 Mo 0.000 0.000 0.000 1
Br1 Br 0.000 0.000 0.500 1



(7)
# Be2MoBr (PBEsol, optimized geometry)
# calculated total energy	-4.69	eV per atom
# distance to the lowest polymorph of the same formula	171	meV/atom
# spin magnetization	0.000	μB/atom
# N(E_F)	5.3	states/eV/cell
data_Be2MoBr
_chemical_formula_sum 'Be4 Mo2 Br2'
_cell_length_a 8.549
_cell_length_b 2.932
_cell_length_c 4.771
_cell_angle_alpha 90.00
_cell_angle_beta 94.50
_cell_angle_gamma 90.00
_symmetry_space_group_name_H-M 'C 1 2/m 1'
_symmetry_Int_Tables_number 12
_symmetry_space_group_name_Hall '-C 2y'
loop_
_atom_site_label
_atom_site_type_symbol
_atom_site_fract_x
_atom_site_fract_y
_atom_site_fract_z
_atom_site_occupancy
Be1 Be 0.214 0.000 0.356 1
Mo1 Mo 0.000 0.500 0.500 1
Br1 Br 0.000 0.000 0.000 1



(8)
# Be2MoBr (PBEsol, optimized geometry)
# calculated total energy	-4.86	eV per atom
# distance to the lowest polymorph of the same formula	0	meV/atom
# spin magnetization	0.002	μB/atom
# N(E_F)	3.3	states/eV/cell
data_Be2MoBr
_chemical_formula_sum 'Be2 Mo1 Br1'
_cell_length_a 2.907
_cell_length_b 2.907
_cell_length_c 7.242
_cell_angle_alpha 90.00
_cell_angle_beta 90.00
_cell_angle_gamma 90.00
_symmetry_space_group_name_H-M 'P 4 m m'
_symmetry_Int_Tables_number 99
_symmetry_space_group_name_Hall 'P 4 -2'
loop_
_atom_site_label
_atom_site_type_symbol
_atom_site_fract_x
_atom_site_fract_y
_atom_site_fract_z
_atom_site_occupancy
Be1 Be 0.000 0.000 0.000 1
Be2 Be 0.500 0.500 0.128 1
Mo1 Mo 0.500 0.500 0.786 1
Br1 Br 0.000 0.000 0.555 1



(9)
# Be2MoBr (PBEsol, optimized geometry)
# calculated total energy	-4.74	eV per atom
# distance to the lowest polymorph of the same formula	122	meV/atom
# spin magnetization	0.000	μB/atom
# N(E_F)	5.1	states/eV/cell
data_Be2MoBr
_chemical_formula_sum 'Be4 Mo2 Br2'
_cell_length_a 5.034
_cell_length_b 7.450
_cell_length_c 2.850
_cell_angle_alpha 90.00
_cell_angle_beta 90.00
_cell_angle_gamma 90.00
_symmetry_space_group_name_H-M 'C m m m'
_symmetry_Int_Tables_number 65
_symmetry_space_group_name_Hall '-C 2 2'
loop_
_atom_site_label
_atom_site_type_symbol
_atom_site_fract_x
_atom_site_fract_y
_atom_site_fract_z
_atom_site_occupancy
Be1 Be 0.250 0.250 0.000 1
Mo1 Mo 0.000 0.000 0.500 1
Br1 Br 0.000 0.500 0.500 1



(10)
# BeMoOsBr2 (PBEsol, optimized geometry)
# calculated total energy	-4.65	eV per atom
# spin magnetization	0.009	μB/atom
# N(E_F)	5.3	states/eV/cell
data_BeMoOsBr2
_chemical_formula_sum 'Be1 Mo1 Os1 Br2'
_cell_length_a 4.200
_cell_length_b 4.200
_cell_length_c 5.047
_cell_angle_alpha 90.00
_cell_angle_beta 90.00
_cell_angle_gamma 90.00
_symmetry_space_group_name_H-M 'P 4/m m m'
_symmetry_Int_Tables_number 123
_symmetry_space_group_name_Hall '-P 4 2'
loop_
_atom_site_label
_atom_site_type_symbol
_atom_site_fract_x
_atom_site_fract_y
_atom_site_fract_z
_atom_site_occupancy
Be1 Be 0.000 0.000 0.000 1
Mo1 Mo 0.000 0.000 0.500 1
Os1 Os 0.500 0.500 0.500 1
Br1 Br 0.000 0.500 0.000 1



(11)
# BeBrN2 (PBEsol, optimized geometry)
# calculated total energy	-3.61	eV per atom
# spin magnetization	0.000	μB/atom
# N(E_F)	8.6	states/eV/cell
data_BeBrN2
_chemical_formula_sum 'Be4 Br4 N8'
_cell_length_a 5.377
_cell_length_b 5.377
_cell_length_c 5.377
_cell_angle_alpha 90.00
_cell_angle_beta 90.00
_cell_angle_gamma 90.00
_symmetry_space_group_name_H-M 'F m -3 m'
_symmetry_Int_Tables_number 225
_symmetry_space_group_name_Hall '-F 4 2 3'
loop_
_atom_site_label
_atom_site_type_symbol
_atom_site_fract_x
_atom_site_fract_y
_atom_site_fract_z
_atom_site_occupancy
Be1 Be 0.000 0.000 0.000 1
Br1 Br 0.000 0.000 0.500 1
N1 N 0.250 0.250 0.250 1



(12)
# BeBr2N (PBEsol, optimized geometry)
# calculated total energy	-2.72	eV per atom
# spin magnetization	0.738	μB/atom
# N(E_F)	5.2	states/eV/cell
data_BeBr2N
_chemical_formula_sum 'Be4 Br8 N4'
_cell_length_a 6.480
_cell_length_b 6.480
_cell_length_c 6.480
_cell_angle_alpha 90.00
_cell_angle_beta 90.00
_cell_angle_gamma 90.00
_symmetry_space_group_name_H-M 'F m -3 m'
_symmetry_Int_Tables_number 225
_symmetry_space_group_name_Hall '-F 4 2 3'
loop_
_atom_site_label
_atom_site_type_symbol
_atom_site_fract_x
_atom_site_fract_y
_atom_site_fract_z
_atom_site_occupancy
Be1 Be 0.000 0.000 0.000 1
Br1 Br 0.250 0.250 0.250 1
N1 N 0.000 0.000 0.500 1



Calculated formation energy (no corrections) (eV/atom), listed in the same order as above: 0.08; 0.54; 0.24; 0.31; 0.00; 1.23; 0.72; 0.55; 0.67; 1.70; 2.12; 1.35